The following is a DFT calculation (PBE) of KTmHg2Cl8 after structural relaxation.

energy relative to the elements, uncorrected: -16.3 eV per formula unit
symmetry: P-1 (2)

Lattice parameters (Å, degrees): 6.735 6.669 8.870 74.86 82.26 87.78
Element x y z (fractional)
Cl (0.392, 0.268, 0.486)
Cl (0.671, 0.763, 0.020)
Cl (0.608, 0.732, 0.514)
Cl (0.329, 0.237, 0.980)
Cl (0.182, 0.803, 0.809)
Cl (0.136, 0.748, 0.240)
Cl (0.864, 0.252, 0.760)
Cl (0.818, 0.197, 0.191)
Hg (0.475, 0.466, 0.738)
Hg (0.525, 0.534, 0.262)
K (0.000, 0.000, 0.500)
Tm (0.000, 0.000, 0.000)

The following is a DFT calculation (PBE) of HfTiSn2 after structural relaxation.

symmetry: P4/mmm (123)
formation energy from the elements: -0.2011 eV/atom

Lattice parameters (Å, degrees): 4.224 4.445 4.445 90.00 90.00 90.00
Element x y z (fractional)
Ti (0.500, 0.000, 0.000)
Sn (0.000, 0.000, 0.500)
Sn (0.000, 0.500, 0.000)
Hf (0.500, 0.500, 0.500)

The following is a DFT calculation (PBE) of LiSbF4 after structural relaxation.

energy relative to the elements, uncorrected: -15.4 eV per formula unit
symmetry: P2_13 (198)

Lattice parameters (Å, degrees): 6.994 6.994 6.994 90.00 90.00 90.00
Element x y z (fractional)
F (0.825, 0.825, 0.825)
F (0.284, 0.069, 0.375)
F (0.716, 0.569, 0.125)
F (0.784, 0.431, 0.625)
F (0.931, 0.875, 0.216)
F (0.175, 0.325, 0.675)
F (0.675, 0.175, 0.325)
F (0.875, 0.216, 0.931)
F (0.069, 0.375, 0.284)
F (0.569, 0.125, 0.716)
F (0.216, 0.931, 0.875)
F (0.431, 0.625, 0.784)
F (0.325, 0.675, 0.175)
F (0.125, 0.716, 0.569)
F (0.375, 0.284, 0.069)
F (0.625, 0.784, 0.431)
Sb (0.346, 0.346, 0.346)
Sb (0.154, 0.654, 0.846)
Sb (0.846, 0.154, 0.654)
Sb (0.654, 0.846, 0.154)
Li (0.170, 0.830, 0.330)
Li (0.670, 0.670, 0.670)
Li (0.330, 0.170, 0.830)
Li (0.830, 0.330, 0.170)

The following is a DFT calculation (PBE) of ReHPd2Pt after structural relaxation.

symmetry: P4/mmm (123)
energy: -6.2128 eV per atom

Lattice parameters (Å, degrees): 3.981 3.981 3.989 90.00 90.00 90.00
Element x y z (fractional)
Re (0.000, 0.000, 0.500)
Pt (0.500, 0.500, 0.500)
Pd (0.000, 0.500, 0.000)
Pd (0.500, 0.000, 0.000)
H (0.000, 0.000, 0.000)

The following is a DFT calculation (PBE) of Tl4Tc5 after structural relaxation.

symmetry: I4/mmm (139)
formation energy from the elements: 0.6733 eV/atom

Lattice parameters (Å, degrees): 6.774 6.774 6.774 95.63 95.63 143.49
Element x y z (fractional)
Tl (0.311, 0.000, 0.311)
Tl (0.689, 0.000, 0.689)
Tl (0.000, 0.311, 0.311)
Tl (0.000, 0.689, 0.689)
Tc (0.639, 0.361, 0.000)
Tc (0.361, 0.639, 0.000)
Tc (0.639, 0.639, 0.278)
Tc (0.361, 0.361, 0.722)
Tc (0.000, 0.000, 0.000)

The following is a DFT calculation (PBE) of Zn3ReOs after structural relaxation.

symmetry: Pm-3m (221)
formation energy from the elements: 1.6166 eV/atom

Lattice parameters (Å, degrees): 4.711 4.711 4.711 90.00 90.00 90.00
Element x y z (fractional)
Zn (0.500, 0.000, 0.000)
Zn (0.000, 0.000, 0.500)
Zn (0.000, 0.500, 0.000)
Os (0.000, 0.000, 0.000)
Re (0.500, 0.500, 0.500)

The following is a DFT calculation (PBE) of KCo2Sb after structural relaxation.

energy relative to the elements, uncorrected: 1.9 eV per formula unit
symmetry: P2/m (10)

Lattice parameters (Å, degrees): 4.587 3.759 6.296 86.55 90.00 90.00
Element x y z (fractional)
Co (0.000, 0.994, 0.841)
Co (0.000, 0.506, 0.659)
K (0.500, 0.250, 0.250)
Sb (0.500, 0.750, 0.750)

The following is a DFT calculation (PBE) of Mg3Ga2Ag after structural relaxation.

symmetry: P4/mmm (123)
formation energy from the elements: -0.1637 eV/atom

Lattice parameters (Å, degrees): 3.465 3.465 9.517 90.00 90.00 90.00
Element x y z (fractional)
Ga (0.500, 0.500, 0.831)
Ga (0.500, 0.500, 0.169)
Mg (0.000, 0.000, 0.664)
Mg (0.000, 0.000, 0.336)
Mg (0.000, 0.000, 0.000)
Ag (0.500, 0.500, 0.500)

The following is a DFT calculation (PBE) of CeCdAu after structural relaxation.

symmetry: Cmmm (65)
formation energy from the elements: -0.4162 eV/atom

Lattice parameters (Å, degrees): 4.146 4.505 7.731 106.94 90.00 90.00
Element x y z (fractional)
Au (0.000, 0.878, 0.715)
Au (0.000, 0.163, 0.285)
Ce (0.500, 0.707, 0.374)
Ce (0.500, 0.333, 0.626)
Cd (0.000, 0.521, 0.000)
Cd (0.500, 0.021, 0.000)

The following is a DFT calculation (PBE) of Pa2GaOs after structural relaxation.

symmetry: P4/mmm (123)
formation energy from the elements: -0.2880 eV/atom

Lattice parameters (Å, degrees): 4.196 4.376 4.376 90.00 90.00 90.00
Element x y z (fractional)
Pa (0.000, 0.500, 0.000)
Pa (0.000, 0.000, 0.500)
Ga (0.500, 0.500, 0.500)
Os (0.500, 0.000, 0.000)

The following is a DFT calculation (PBE) of Tb2SmSn after structural relaxation.

symmetry: F-43m (216)
formation energy from the elements: -0.2454 eV/atom

Lattice parameters (Å, degrees): 5.456 5.456 5.455 60.00 60.00 60.00
Element x y z (fractional)
Sn (0.750, 0.750, 0.750)
Tb (0.000, 0.000, 0.000)
Tb (0.250, 0.250, 0.250)
Sm (0.500, 0.500, 0.500)

The following is a DFT calculation (PBE) of ZnSiPb4 after structural relaxation.

energy relative to the elements, uncorrected: 3.6 eV per formula unit
symmetry: F-43m (216)

Lattice parameters (Å, degrees): 6.400 6.400 6.400 60.00 60.00 60.00
Element x y z (fractional)
Pb (0.375, 0.375, 0.375)
Pb (0.375, 0.875, 0.375)
Pb (0.875, 0.375, 0.375)
Pb (0.375, 0.375, 0.875)
Zn (0.000, 0.000, 0.000)
Si (0.750, 0.750, 0.750)

The following is a DFT calculation (PBE) of Zn2GaCu6 after structural relaxation.

symmetry: P4_2/mnm (136)
formation energy from the elements: -0.0692 eV/atom

Lattice parameters (Å, degrees): 3.776 7.814 7.814 90.00 90.00 90.00
Element x y z (fractional)
Cu (0.000, 0.336, 0.493)
Cu (0.500, 0.836, 0.007)
Cu (0.500, 0.164, 0.993)
Cu (0.500, 0.843, 0.343)
Cu (0.000, 0.993, 0.836)
Cu (0.500, 0.507, 0.336)
Cu (0.000, 0.343, 0.157)
Cu (0.000, 0.007, 0.164)
Cu (0.500, 0.493, 0.664)
Cu (0.000, 0.664, 0.507)
Cu (0.500, 0.157, 0.657)
Cu (0.000, 0.657, 0.843)
Zn (0.500, 0.181, 0.319)
Zn (0.000, 0.319, 0.819)
Zn (0.000, 0.681, 0.181)
Zn (0.500, 0.819, 0.681)
Ga (0.500, 0.500, 0.000)
Ga (0.000, 0.000, 0.500)

| no. | DOS at the Fermi energy (states/eV/cell) |
| --- | --- |
| 1 | 0.00 |
| 2 | 2.27 |
| 3 | 0.00 |
| 4 | 4.98 |
| 5 | 9.76 |
| 6 | 2.38 |
| 7 | 3.00 |
| 8 | 2.68 |
| 9 | 10.84 |
| 10 | 5.43 |
| 11 | 7.41 |
| 12 | 3.42 |
| 13 | 5.86 |